The following is a GGA-PBE calculation of a relaxed structure of Li2AcPb, from the Alexandria database.

The space group is P4/mmm (No. 123) and the conventional cell measures 3.8557, 3.8557 and 7.3454 Å, with angles of 90.00, 90.00 and 90.00 degrees. The asymmetric unit holds Li at (0.0000, 0.0000, 0.1936), Ac at (0.5000, 0.5000, 0.5000) and Pb at (0.5000, 0.5000, 0.0000).

Its electronic total energy is -3.0566 eV per atom. The value obtained for the energy above the lowest structure with this stoichiometry is 0.163 eV per atom.

***

The following is a GGA-PBE calculation of a relaxed structure of LiAcPb4, from the Alexandria database.

The space group is F-43m (No. 216) and the conventional cell measures 9.2425, 9.2425 and 9.2425 Å, with angles of 90.00, 90.00 and 90.00 degrees. The asymmetric unit holds Li at (0.0000, 0.0000, 0.0000), Ac at (0.2500, 0.2500, 0.2500) and Pb at (0.1245, 0.1245, 0.6245).

Its electronic total energy is -3.6825 eV per atom.

***

The following is a GGA-PBE calculation of a relaxed structure of LiAcPb2, from the Alexandria database.

The space group is Pnma (No. 62) and the conventional cell measures 8.9094, 7.7807 and 6.7442 Å, with angles of 90.00, 90.00 and 90.00 degrees. The asymmetric unit holds Li at (0.0923, 0.2500, 0.1282), Ac at (0.0244, 0.7500, 0.3827) and Pb at (0.1895, 0.5518, 0.8741).

Its electronic total energy is -3.7755 eV per atom.

***

> Number 2 is which compound?

LiAcPb4